# 1
CuPtBr2 after structural relaxation, computed with PBE.

extended XYZ file:
```
4
Lattice="-1.278 0.999 5.266 -4.924 -1.823 -1.672 5.092 -1.772 1.138" Properties=species:S:1:pos:R:3 pbc="T T T"
Br -0.015 -0.002 0.009
Cu -1.467 -2.003 0.632
Br -3.087 -0.410 1.789
Pt 0.356 -0.592 4.101
```

Properties
uncorrected formation energy = 0.309 eV per atom
total magnetic moment = 0.000 μB/atom
symmetry = Immm (71)
energy above the lowest structure with this stoichiometry = 0.266 eV per atom
calculated total energy = -3.06 eV per atom

=====

# 2
Ac2Sm5Dy3 after structural relaxation, computed with PBE.

extended XYZ file:
```
20
Lattice="-11.052 -3.295 2.278 -4.689 -8.067 -4.046 10.310 1.418 6.556" Properties=species:S:1:pos:R:3 pbc="T T T"
Sm -7.103 -7.973 -0.458
Ac -4.843 -2.853 2.733
Ac -0.587 -7.091 2.055
Dy 1.981 -4.378 3.262
Sm -3.537 -6.073 4.404
Sm -10.630 -6.511 -0.307
Dy -7.411 -5.567 1.525
Sm 5.200 -3.434 5.095
Sm -1.374 -3.250 3.797
Ac -6.121 -8.750 3.188
Dy 2.843 -7.445 3.042
Sm -4.056 -6.695 0.991
Sm 1.672 -1.971 5.246
Sm -9.565 -8.372 2.169
Sm -1.893 -3.871 0.384
Ac 0.691 -1.194 1.599
Dy -8.273 -2.499 1.746
Dy -3.866 -3.630 6.339
Sm 4.134 -1.573 2.619
Dy -1.564 -6.314 -1.551
```

Properties
ΔH_f (0 K) = 0.198 eV per atom
total magnetic moment = 0.000 μB/atom
symmetry = C2/c (15)
calculated total energy = -4.36 eV per atom

=====

# 3
LaGe2Ir after structural relaxation, computed with PBE.

extended XYZ file:
```
8
Lattice="-2.151 -3.780 1.926 4.240 -1.991 0.829 1.307 0.832 8.968" Properties=species:S:1:pos:R:3 pbc="T T T"
Ir 0.100 -2.917 6.135
Ir 0.000 0.000 0.000
La 1.044 -2.886 1.377
Ge -0.818 -2.984 3.845
La 3.295 -2.022 5.587
Ge 0.887 -4.709 4.631
Ge 1.112 -1.234 7.632
Ge -0.782 -2.740 8.435
```

Properties
ΔH_f (0 K) = -0.430 eV per atom
total magnetic moment = 0.000 μB/atom
symmetry = I-42d (122)
calculated total energy = -6.19 eV per atom

=====

# 4
LiScRe2 after structural relaxation, computed with PBE.

extended XYZ file:
```
8
Lattice="3.708 0.000 0.000 0.000 3.708 0.000 1.854 1.854 9.685" Properties=species:S:1:pos:R:3 pbc="T T T"
Sc 0.000 0.000 0.000
Li 1.854 1.854 0.000
Re 4.635 2.802 7.264
Re 2.760 2.781 2.421
Li 1.854 3.708 4.843
Re 2.781 4.614 7.264
Sc 3.708 1.854 4.843
Re 0.948 0.927 2.421
```

Properties
ΔH_f (0 K) = 0.512 eV per atom
total magnetic moment = 0.000 μB/atom
symmetry = I-42d (122)
energy above the lowest structure with this stoichiometry = 0.532 eV per atom
calculated total energy = -7.77 eV per atom

=====

# 5
KLiTa after structural relaxation, computed with PBE.

extended XYZ file:
```
3
Lattice="-1.929 -1.818 1.415 2.505 -1.124 -1.219 4.482 1.404 7.916" Properties=species:S:1:pos:R:3 pbc="T T T"
Ta 2.419 -0.687 5.605
K 4.438 1.390 7.838
Li 2.684 -0.836 2.585
```

Properties
ΔH_f (0 K) = 0.856 eV per atom
total magnetic moment = 0.000 μB/atom
symmetry = P3m1 (156)
energy above the lowest structure with this stoichiometry = 0.001 eV per atom
calculated total energy = -4.10 eV per atom

=====

# 6
HfTe2NF after structural relaxation, computed with PBE.

extended XYZ file:
```
5
Lattice="5.583 0.000 0.000 0.000 5.583 0.000 0.000 0.000 4.027" Properties=species:S:1:pos:R:3 pbc="T T T"
Hf 0.000 0.000 0.000
Te 2.792 0.000 0.000
Te 0.000 2.792 0.000
F 2.792 2.792 2.013
N 0.000 0.000 2.013
```

Properties
uncorrected formation energy = -0.051 eV per atom
total magnetic moment = 0.000 μB/atom
symmetry = P4/mmm (123)
energy above the lowest structure with this stoichiometry = 0.000 eV per atom
calculated total energy = -5.34 eV per atom

=====

# 7
CaLa2Ag2Ge2 after structural relaxation, computed with PBE.

extended XYZ file:
```
7
Lattice="-1.808 1.497 -3.989 -4.537 0.863 -0.305 -0.563 9.909 1.290" Properties=species:S:1:pos:R:3 pbc="T T T"
Ag -2.972 8.968 -0.657
La -5.753 5.842 -3.255
Ca 0.000 0.000 0.000
Ag -3.936 3.301 -2.347
Ge -1.768 2.825 -0.823
La -1.155 6.427 0.251
Ge -5.140 9.444 -2.181
```

Properties
ΔH_f (0 K) = -0.460 eV per atom
total magnetic moment = 0.000 μB/atom
symmetry = R-3m (166)
calculated total energy = -4.29 eV per atom

=====

# 8
BaReCl2 after structural relaxation, computed with PBE.

extended XYZ file:
```
4
Lattice="5.096 0.000 0.000 0.000 5.104 0.000 0.000 0.000 4.311" Properties=species:S:1:pos:R:3 pbc="T T T"
Cl 2.548 2.552 0.000
Re 2.548 0.000 2.156
Cl 0.000 0.000 0.000
Ba 0.000 2.552 2.156
```

Properties
uncorrected formation energy = 0.065 eV per atom
total magnetic moment = 1.250 μB/atom
symmetry = P4/mmm (123)
energy above the lowest structure with this stoichiometry = 0.210 eV per atom
calculated total energy = -4.45 eV per atom

=====

# 9
Tl2ReSi after structural relaxation, computed with PBE.

extended XYZ file:
```
4
Lattice="-2.120 -1.458 -1.663 2.209 -1.506 -1.496 -0.303 -6.431 6.024" Properties=species:S:1:pos:R:3 pbc="T T T"
Tl -0.148 -3.127 2.929
Re -0.032 -3.089 -0.074
Tl -0.004 -0.088 0.083
Si -0.183 -6.305 2.938
```

Properties
uncorrected formation energy = 1.127 eV per atom
total magnetic moment = 0.297 μB/atom
symmetry = P4/mmm (123)
energy above the lowest structure with this stoichiometry = 0.773 eV per atom
calculated total energy = -4.52 eV per atom

=====

# 10
AcHg4Rh after structural relaxation, computed with PBE.

extended XYZ file:
```
12
Lattice="-1.380 -0.391 -4.216 2.659 -7.043 -0.218 -7.789 -3.029 2.830" Properties=species:S:1:pos:R:3 pbc="T T T"
Hg -7.241 -5.225 0.502
Rh -5.256 -3.822 2.075
Rh 0.126 -6.249 0.538
Hg 0.730 -5.237 -2.106
Hg 0.000 0.000 0.000
Hg -4.023 -9.112 -0.191
Ac -4.267 -6.443 1.994
Hg -3.895 -1.514 1.415
Hg -2.322 -6.424 -0.997
Ac -0.863 -3.629 0.619
Hg -2.488 -1.349 -1.413
Hg -4.189 -4.038 -0.607
```

Properties
ΔH_f (0 K) = -0.285 eV per atom
total magnetic moment = 0.000 μB/atom
symmetry = Pmma (51)
calculated total energy = -2.40 eV per atom

=====

# 11
Mg2BeGe after structural relaxation, computed with PBE.

extended XYZ file:
```
4
Lattice="0.000 3.257 3.257 3.257 0.000 3.257 3.257 3.257 0.000" Properties=species:S:1:pos:R:3 pbc="T T T"
Mg 1.628 1.628 1.628
Mg 4.885 4.885 4.885
Ge 3.257 3.257 3.257
Be 0.000 0.000 0.000
```

Properties
ΔH_f (0 K) = 0.202 eV per atom
total magnetic moment = 0.000 μB/atom
symmetry = Fm-3m (225)
energy above the lowest structure with this stoichiometry = 0.000 eV per atom
calculated total energy = -2.68 eV per atom

=====

# 12
K2US3F3 after structural relaxation, computed with PBE.

extended XYZ file:
```
9
Lattice="3.766 0.000 0.000 0.000 7.812 0.000 0.000 -3.906 6.766" Properties=species:S:1:pos:R:3 pbc="T T T"
K 1.883 3.906 2.255
U 0.000 0.000 0.000
F 1.883 0.731 1.267
S 0.000 -1.295 2.243
K 1.883 0.000 4.510
S 0.000 2.590 0.000
S 0.000 2.611 4.522
F 1.883 6.349 0.000
F 1.883 -3.175 5.499
```

Properties
uncorrected formation energy = -1.766 eV per atom
total magnetic moment = 0.094 μB/atom
symmetry = P-62m (189)
calculated total energy = -5.26 eV per atom

=====

# 13
CsNaInI3 after structural relaxation, computed with PBE.

extended XYZ file:
```
12
Lattice="5.345 0.000 0.000 0.000 9.864 -0.106 0.000 -3.918 10.883" Properties=species:S:1:pos:R:3 pbc="T T T"
I 4.008 4.006 1.978
I 4.008 -0.067 5.559
In 1.336 6.222 1.202
I 4.008 8.465 1.178
I 1.336 1.940 8.800
I 1.336 -2.519 9.599
Cs 1.336 1.213 2.679
In 4.008 -0.275 9.575
Cs 4.008 4.733 8.098
Na 1.336 -0.999 6.870
Na 4.008 6.945 3.908
I 1.336 6.014 5.218
```

Properties
uncorrected formation energy = -1.059 eV per atom
total magnetic moment = 0.000 μB/atom
symmetry = P2_1/m (11)
calculated total energy = -2.65 eV per atom

=====

# 14
Be2TlP2 after structural relaxation, computed with PBE.

extended XYZ file:
```
5
Lattice="3.518 0.000 0.000 0.000 3.518 0.000 1.759 1.759 7.023" Properties=species:S:1:pos:R:3 pbc="T T T"
Tl 0.000 0.000 0.000
P 3.518 3.518 4.842
P 1.759 1.759 2.181
Be 3.518 1.759 3.511
Be 1.759 3.518 3.511
```

Properties
ΔH_f (0 K) = -0.111 eV per atom
total magnetic moment = 0.000 μB/atom
symmetry = I4/mmm (139)
calculated total energy = -4.24 eV per atom

=====

# 15
TaGa2Ni8 after structural relaxation, computed with PBE.

extended XYZ file:
```
11
Lattice="-1.927 -3.416 -1.534 -3.637 -3.453 4.231 -6.288 1.381 0.810" Properties=species:S:1:pos:R:3 pbc="T T T"
Ta -0.964 -1.708 -0.767
Ga -3.531 -0.535 1.615
Ni -5.297 -1.686 0.614
Ni -7.709 -2.985 0.637
Ni -8.437 -2.509 4.263
Ni -3.469 -4.388 1.428
Ni -2.096 -2.481 1.269
Ga -6.394 -1.536 3.426
Ni -4.144 -2.503 2.870
Ni -3.415 -2.979 -0.755
Ni -6.555 -3.802 2.893
```

Properties
ΔH_f (0 K) = -0.124 eV per atom
total magnetic moment = 0.000 μB/atom
symmetry = C2/m (12)
calculated total energy = -5.96 eV per atom

=====

# 16
ReP after structural relaxation, computed with PBE.

extended XYZ file:
```
4
Lattice="2.496 0.534 -1.471 -2.560 -0.156 -1.450 -1.098 8.083 1.070" Properties=species:S:1:pos:R:3 pbc="T T T"
P -1.051 1.372 -1.285
Re 0.411 3.248 -1.074
P -0.111 7.089 -0.565
Re -1.572 5.213 -0.776
```

Properties
ΔH_f (0 K) = -0.088 eV per atom
total magnetic moment = 0.000 μB/atom
symmetry = P-3m1 (164)
energy above the lowest structure with this stoichiometry = 0.200 eV per atom
calculated total energy = -9.02 eV per atom